The following is a DFT calculation (PBE-GGA) of LiSc2Ta after structural relaxation.

- energy of formation (meV/atom) = 391
- total DFT energy (no corrections) (eV per atom) = -6.22
- calculated volume (A^3/atom) = 20.06
- density of states at the Fermi level (states/eV per cell) = 13.58

Structure (CIF):
```
data_LiSc2Ta
_cell_length_a 4.196
_cell_length_b 4.196
_cell_length_c 9.114
_cell_angle_alpha 90.00
_cell_angle_beta 90.00
_cell_angle_gamma 90.00
_symmetry_space_group_name_H-M 'I -4 m 2'
_symmetry_Int_Tables_number 119
_symmetry_space_group_name_Hall 'I -4 -2'
loop_
_atom_site_label
_atom_site_fract_x
_atom_site_fract_y
_atom_site_fract_z
_atom_site_occupancy
Li1 0.000 0.000 0.000 1
Sc1 0.000 0.000 0.500 1
Sc2 0.000 0.500 0.750 1
Ta1 0.000 0.500 0.250 1
```